Record 1
Computed, not measured: an optimized crystal structure of LaErTl at the PBE-GGA level of DFT.

Values from the calculation:
- energy relative to the lowest polymorph listed for this composition (meV/atom) = 69
- density of states at the Fermi level (states/eV per cell) = 1.9
- calculated volume (Å³ per cell) = 95
- space group = P3m1, No. 156
- energy relative to the elements (eV per atom) = -0.189
- total moment (μB per cell) = 0.000

a = 5.3353 Å, b = 5.3353 Å, c = 3.8535 Å
α = 90.00°, β = 90.00°, γ = 120.00°
Positions (direct):
1 La 0.0000 0.0000 0.0000
2 Er 0.3333 0.6667 0.4847
3 Tl 0.6667 0.3333 0.5303

=====

Record 2
Computed, not measured: an optimized crystal structure of ScCd2Pt at the PBE-GGA level of DFT.

Values from the calculation:
- density of states at the Fermi level (states/eV per cell) = 1.1
- calculated volume (Å³ per cell) = 92
- space group = R3m, No. 160
- energy relative to the elements (eV per atom) = -0.362
- total moment (μB per cell) = 0.000

a = 8.2494 Å, b = 8.2494 Å, c = 8.2494 Å
α = 25.49°, β = 25.49°, γ = 25.49°
Positions (direct):
1 Sc 0.0000 0.0000 0.0000
2 Cd 0.5223 0.5223 0.5223
3 Cd 0.7653 0.7653 0.7653
4 Pt 0.2691 0.2691 0.2691

=====

Record 3
Computed, not measured: an optimized crystal structure of Rb4AuO at the PBE-GGA level of DFT.

Values from the calculation:
- energy relative to the lowest polymorph listed for this composition (meV/atom) = 0
- energy relative to the elements, uncorrected (eV per atom) = -0.58
- density of states at the Fermi level (states/eV per cell) = 2.5
- calculated volume (Å³ per cell) = 530
- space group = Cmc2_1, No. 36
- total moment (μB per cell) = 0.000

a = 12.3442 Å, b = 12.3442 Å, c = 7.9391 Å
α = 90.00°, β = 90.00°, γ = 154.00°
Positions (direct):
1 Rb 0.0018 0.9982 0.5000
2 Rb 0.1602 0.8398 0.9910
3 Rb 0.1642 0.8358 0.4878
4 Rb 0.4244 0.5756 0.7454
5 Rb 0.5756 0.4244 0.2454
6 Rb 0.8358 0.1642 0.9878
7 Rb 0.8398 0.1602 0.4910
8 Rb 0.9982 0.0018 0.0000
9 Au 0.4220 0.5780 0.2459
10 Au 0.5780 0.4220 0.7459
11 O 0.0892 0.9108 0.2448
12 O 0.9108 0.0892 0.7448

=====

Record 4
Computed, not measured: an optimized crystal structure of BeTePd at the PBE-GGA level of DFT.

Values from the calculation:
- energy relative to the elements, uncorrected (eV per atom) = -0.28
- density of states at the Fermi level (states/eV per cell) = 2.0
- calculated volume (Å³ per cell) = 116
- space group = P1, No. 1
- total moment (μB per cell) = 0.000

a = 3.1550 Å, b = 3.6457 Å, c = 10.3234 Å
α = 100.09°, β = 96.68°, γ = 90.01°
Positions (direct):
1 Be 0.0000 0.0000 0.0000
2 Be 0.0502 0.5688 0.1392
3 Te 0.1455 0.1977 0.3978
4 Te 0.7495 0.8808 0.7598
5 Pd 0.4918 0.4760 0.9519
6 Pd 0.5594 0.0857 0.1731